# SmGa3CoIr, relaxed, DFT PBE
# Electronic total energy: -0.196 Ha/atom
# ρ: 8.94 g/cm³
# Energy of formation from the pure elements: -368 meV/atom
data_SmGa3CoIr
_space_group_name_H-M_alt 'C m c m'
_space_group_IT_number 63
_space_group_name_Hall '-C 2c 2'
_cell_length_a 7.6816
_cell_length_b 10.5880
_cell_length_c 5.5792
_cell_angle_alpha 90.00
_cell_angle_beta 90.00
_cell_angle_gamma 90.00
loop_
_atom_site_label
_atom_site_type_symbol
_atom_site_fract_x
_atom_site_fract_y
_atom_site_fract_z
_atom_site_occupancy
Sm1 Sm 0.0000 0.2139 0.2500 1
Ga1 Ga 0.0000 0.3193 0.7500 1
Ga2 Ga 0.2496 0.0000 0.0000 1
Co1 Co 0.0000 0.4654 0.2500 1
Ir1 Ir 0.0000 0.0894 0.7500 1